Here is a relaxed SrNbW2F crystal from Alexandria via LeMat-Bulk. Energies are from PBE with a Hubbard U.

Values from the calculation:
Its final energy is -4.8885 eV per atom.

Cell lengths 4.849, 4.750, 4.849 Å; angles 90.00, 90.00, 90.00 degrees
Site moments in Bohr magnetons follow the coordinates.
Atoms (fractional coordinates):
Sr 0.000 0.500 0.000  -0.04
Nb 0.500 0.500 0.500  -1.93
W 0.000 0.000 0.500  2.98
W 0.500 0.000 0.000  3.00
F 0.000 0.000 0.000  0.03